Record 1
# Ac8Rh3Br4F

Ac8Rh3Br4F after structural relaxation (PBE, the Alexandria database).

Computed properties:
Symmetry = C2/m (12)
Density of states at the Fermi level = 6.0 states/eV/f.u.
E_form (uncorrected) = -1.287 eV per atom
Uncorrected energy = -84.08 eV for the cell shown

Cell lengths 8.614, 8.614, 9.757 Å; angles 116.22, 116.22, 59.93 degrees
Element x y z (fractional)
Ac (0.224, 0.737, 0.697)
Ac (0.230, 0.230, 0.692)
Ac (0.262, 0.262, 0.302)
Ac (0.263, 0.776, 0.303)
Ac (0.737, 0.224, 0.697)
Ac (0.738, 0.738, 0.698)
Ac (0.770, 0.770, 0.308)
Ac (0.776, 0.263, 0.303)
Rh (0.000, 0.000, 0.500)
Rh (0.000, 0.500, 0.500)
Rh (0.500, 0.000, 0.500)
Br (0.000, 0.000, 0.000)
Br (0.000, 0.500, 0.000)
Br (0.500, 0.000, 0.000)
Br (0.500, 0.500, 0.000)
F (0.500, 0.500, 0.500)

Record 2
# Al4GaNi5

Al4GaNi5 after structural relaxation (PBE, the Alexandria database).

Computed properties:
Symmetry = P4/mmm (123)
Density of states at the Fermi level = 5.6 states/eV/f.u.
ΔE_f = -603 meV/atom
Uncorrected energy = -52.93 eV for the cell shown

Cell lengths 2.906, 2.906, 14.372 Å; angles 90.00, 90.00, 90.00 degrees
Element x y z (fractional)
Al (0.000, 0.000, 0.100)
Al (0.000, 0.000, 0.299)
Al (0.000, 0.000, 0.701)
Al (0.000, 0.000, 0.900)
Ga (0.000, 0.000, 0.500)
Ni (0.500, 0.500, 0.000)
Ni (0.500, 0.500, 0.199)
Ni (0.500, 0.500, 0.398)
Ni (0.500, 0.500, 0.602)
Ni (0.500, 0.500, 0.801)

Record 3
# GdDyCo

GdDyCo after structural relaxation (PBE, the Alexandria database).

Computed properties:
Symmetry = P3m1 (156)
Density of states at the Fermi level = 2.6 states/eV/f.u.
ΔE to the lowest computed polymorph = 35.6 meV/atom
ΔE_f = -64 meV/atom
Uncorrected energy = -25.98 eV for the cell shown

Cell lengths 3.883, 3.883, 6.191 Å; angles 90.00, 90.00, 120.00 degrees
Element x y z (fractional)
Gd (0.000, 0.000, 0.000)
Dy (0.667, 0.333, 0.535)
Co (0.333, 0.667, 0.767)

Record 4
# CdHg4Te5

CdHg4Te5 after structural relaxation (PBE, the Alexandria database).

Computed properties:
Symmetry = Immm (71)
Density of states at the Fermi level = 6.4 states/eV/f.u.
E_form (uncorrected) = -0.070 eV per atom
ΔE to the lowest computed polymorph = 148.6 meV/atom
Uncorrected energy = -18.53 eV for the cell shown

Cell lengths 11.523, 11.523, 11.523 Å; angles 158.31, 149.21, 37.98 degrees
Element x y z (fractional)
Cd (0.000, 0.000, 0.000)
Hg (0.201, 0.201, 0.000)
Hg (0.400, 0.400, 0.000)
Hg (0.600, 0.600, 0.000)
Hg (0.799, 0.799, 0.000)
Te (0.098, 0.598, 0.500)
Te (0.301, 0.801, 0.500)
Te (0.500, 0.000, 0.500)
Te (0.699, 0.199, 0.500)
Te (0.902, 0.402, 0.500)

Record 5
# Cs2BiSF3

Cs2BiSF3 after structural relaxation (PBE, the Alexandria database).

Computed properties:
Symmetry = Immm (71)
E_form (uncorrected) = -2.043 eV per atom
Uncorrected energy = -59.26 eV for the cell shown

Cell lengths 4.773, 5.448, 15.411 Å; angles 90.00, 90.00, 90.00 degrees
Element x y z (fractional)
Cs (0.000, 0.000, 0.157)
Cs (0.000, 0.000, 0.843)
Cs (0.500, 0.500, 0.343)
Cs (0.500, 0.500, 0.657)
Bi (0.000, 0.000, 0.500)
Bi (0.500, 0.500, 0.000)
S (0.000, 0.500, 0.500)
S (0.500, 0.000, 0.000)
F (0.000, 0.000, 0.349)
F (0.000, 0.000, 0.651)
F (0.000, 0.500, 0.000)
F (0.500, 0.000, 0.500)
F (0.500, 0.500, 0.151)
F (0.500, 0.500, 0.849)

Record 6
# K3Ac2VSe6

K3Ac2VSe6 after structural relaxation (PBE, the Alexandria database).

Computed properties:
Symmetry = C2/m (12)
Density of states at the Fermi level = 10.2 states/eV/f.u.
E_form (uncorrected) = -1.423 eV per atom
Uncorrected energy = -58.61 eV for the cell shown

Cell lengths 7.539, 7.539, 8.116 Å; angles 99.01, 99.01, 120.04 degrees
Element x y z (fractional)
K (0.000, 0.000, 0.000)
K (0.331, 0.669, 0.000)
K (0.669, 0.331, 0.000)
Ac (0.166, 0.834, 0.500)
Ac (0.834, 0.166, 0.500)
V (0.500, 0.500, 0.500)
Se (0.137, 0.431, 0.295)
Se (0.277, 0.277, 0.703)
Se (0.431, 0.137, 0.295)
Se (0.569, 0.863, 0.705)
Se (0.723, 0.723, 0.297)
Se (0.863, 0.569, 0.705)

Record 7
# Ba3Si2As4

Ba3Si2As4 after structural relaxation (PBE, the Alexandria database).

Computed properties:
Symmetry = C2/c (15)
E_form (uncorrected) = -0.715 eV per atom
ΔE to the lowest computed polymorph = 94.9 meV/atom
Uncorrected energy = -83.29 eV for the cell shown

Cell lengths 9.221, 9.221, 7.530 Å; angles 92.90, 92.90, 59.58 degrees
Element x y z (fractional)
Ba (0.015, 0.985, 0.750)
Ba (0.254, 0.490, 0.419)
Ba (0.490, 0.254, 0.919)
Ba (0.510, 0.746, 0.081)
Ba (0.746, 0.510, 0.581)
Ba (0.985, 0.015, 0.250)
Si (0.035, 0.350, 0.995)
Si (0.350, 0.035, 0.495)
Si (0.650, 0.965, 0.505)
Si (0.965, 0.650, 0.005)
As (0.153, 0.274, 0.683)
As (0.213, 0.656, 0.001)
As (0.274, 0.153, 0.183)
As (0.344, 0.787, 0.499)
As (0.656, 0.213, 0.501)
As (0.726, 0.847, 0.817)
As (0.787, 0.344, 0.999)
As (0.847, 0.726, 0.317)

Record 8
# K2NiI2

K2NiI2 after structural relaxation (PBE, the Alexandria database).

Computed properties:
Symmetry = P4/mbm (127)
Density of states at the Fermi level = 1.1 states/eV/f.u.
E_form (uncorrected) = -0.407 eV per atom
ΔE to the lowest computed polymorph = 227.4 meV/atom
Uncorrected energy = -26.22 eV for the cell shown

Cell lengths 8.093, 8.093, 5.183 Å; angles 90.00, 90.00, 90.00 degrees
Element x y z (fractional)
K (0.148, 0.352, 0.000)
K (0.352, 0.852, 0.000)
K (0.648, 0.148, 0.000)
K (0.852, 0.648, 0.000)
Ni (0.000, 0.000, 0.500)
Ni (0.500, 0.500, 0.500)
I (0.178, 0.678, 0.500)
I (0.322, 0.178, 0.500)
I (0.678, 0.822, 0.500)
I (0.822, 0.322, 0.500)

Record 9
# AcNdBr

AcNdBr after structural relaxation (PBE, the Alexandria database).

Computed properties:
Symmetry = P3m1 (156)
Density of states at the Fermi level = 3.3 states/eV/f.u.
E_form (uncorrected) = -0.742 eV per atom
ΔE to the lowest computed polymorph = 0.0 meV/atom
Uncorrected energy = -12.78 eV for the cell shown

Cell lengths 3.962, 3.962, 8.001 Å; angles 90.00, 90.00, 120.00 degrees
Element x y z (fractional)
Ac (0.000, 0.000, 0.000)
Nd (0.667, 0.333, 0.376)
Br (0.333, 0.667, 0.658)

Record 10
# K2CaPt

K2CaPt after structural relaxation (PBE, the Alexandria database).

Computed properties:
Symmetry = P2/m (10)
Density of states at the Fermi level = 2.3 states/eV/f.u.
ΔE to the lowest computed polymorph = 187.7 meV/atom
ΔE_f = -68 meV/atom
Uncorrected energy = -10.51 eV for the cell shown

Cell lengths 5.528, 4.736, 7.840 Å; angles 90.00, 110.56, 90.00 degrees
Element x y z (fractional)
K (0.146, 0.000, 0.291)
K (0.854, 0.000, 0.709)
Ca (0.500, 0.500, 0.000)
Pt (0.000, 0.500, 0.000)

Record 11
# SrPmInSn

SrPmInSn after structural relaxation (PBE, the Alexandria database).

Computed properties:
Symmetry = F-43m (216)
Density of states at the Fermi level = 2.4 states/eV/f.u.
ΔE_f = -482 meV/atom
Uncorrected energy = -60.41 eV for the cell shown

Cell lengths 7.892, 7.892, 7.892 Å; angles 90.00, 90.00, 90.00 degrees
Element x y z (fractional)
Sr (0.000, 0.000, 0.000)
Sr (0.000, 0.500, 0.500)
Sr (0.500, 0.000, 0.500)
Sr (0.500, 0.500, 0.000)
Pm (0.000, 0.000, 0.500)
Pm (0.000, 0.500, 0.000)
Pm (0.500, 0.000, 0.000)
Pm (0.500, 0.500, 0.500)
In (0.250, 0.250, 0.750)
In (0.250, 0.750, 0.250)
In (0.750, 0.250, 0.250)
In (0.750, 0.750, 0.750)
Sn (0.250, 0.250, 0.250)
Sn (0.250, 0.750, 0.750)
Sn (0.750, 0.250, 0.750)
Sn (0.750, 0.750, 0.250)

Record 12
# CeDy2Au

CeDy2Au after structural relaxation (PBE, the Alexandria database).

Computed properties:
Symmetry = P4/mmm (123)
Density of states at the Fermi level = 7.2 states/eV/f.u.
ΔE to the lowest computed polymorph = 0.0 meV/atom
ΔE_f = -366 meV/atom
Uncorrected energy = -19.88 eV for the cell shown

Cell lengths 3.607, 3.607, 8.240 Å; angles 90.00, 90.00, 90.00 degrees
Element x y z (fractional)
Ce (0.000, 0.000, 0.000)
Dy (0.500, 0.500, 0.289)
Dy (0.500, 0.500, 0.711)
Au (0.000, 0.000, 0.500)